Arrangement P

HgPbSO: optimized geometry, GGA-PBE.

Results
Crystal system: orthorhombic
SG: No. 62

Cell lengths 6.099, 3.992, 14.898 Å; angles 90.00, 90.00, 90.00 degrees
Positions (direct):
Hg: 0.705 0.250 0.187
Hg: 0.205 0.250 0.313
Hg: 0.795 0.750 0.687
Hg: 0.295 0.750 0.813
O: 0.266 0.250 0.170
O: 0.766 0.250 0.330
O: 0.234 0.750 0.670
O: 0.734 0.750 0.830
Pb: 0.237 0.750 0.085
Pb: 0.737 0.750 0.415
Pb: 0.263 0.250 0.585
Pb: 0.763 0.250 0.915
S: 0.736 0.750 0.082
S: 0.236 0.750 0.418
S: 0.764 0.250 0.582
S: 0.264 0.250 0.918

Arrangement Q

HgPbSO: optimized geometry, GGA-PBE.

Results
Crystal system: tetragonal
SG: No. 129

Cell lengths 4.945, 4.945, 7.800 Å; angles 90.00, 90.00, 90.00 degrees
Positions (direct):
Hg: 0.250 0.250 0.375
Hg: 0.750 0.750 0.625
O: 0.250 0.250 0.091
O: 0.750 0.750 0.909
Pb: 0.750 0.750 0.174
Pb: 0.250 0.250 0.826
S: 0.750 0.250 0.500
S: 0.250 0.750 0.500

Which structure loses on stability? arrangement Q does.

Arrangement P

ZnMo: optimized geometry, GGA-PBE.

Results
Crystal system: orthorhombic
SG: No. 59

Cell lengths 4.505, 11.922, 4.505 Å; angles 90.00, 90.00, 90.00 degrees
Positions (direct):
Mo: 0.919 0.000 0.000
Mo: 0.919 0.500 0.000
Mo: 0.419 0.619 0.000
Mo: 0.419 0.881 0.000
Mo: 0.415 0.000 0.500
Mo: 0.914 0.119 0.500
Mo: 0.914 0.381 0.500
Mo: 0.415 0.500 0.500
Zn: 0.422 0.129 0.000
Zn: 0.922 0.250 0.000
Zn: 0.422 0.371 0.000
Zn: 0.920 0.750 0.000
Zn: 0.413 0.250 0.500
Zn: 0.911 0.629 0.500
Zn: 0.411 0.750 0.500
Zn: 0.911 0.871 0.500

Arrangement Q

ZnMo: optimized geometry, GGA-PBE.

Results
Crystal system: orthorhombic
SG: No. 62

Cell lengths 4.873, 5.425, 4.501 Å; angles 90.00, 90.00, 90.00 degrees
Positions (direct):
Mo: 0.005 0.494 0.000
Mo: 0.505 0.756 0.000
Mo: 0.828 0.256 0.500
Mo: 0.328 0.994 0.500
Zn: 0.504 0.252 0.000
Zn: 0.004 0.998 0.000
Zn: 0.329 0.498 0.500
Zn: 0.829 0.752 0.500

Which structure loses on stability? arrangement Q does.

Arrangement P

AcCuGe: optimized geometry, GGA-PBE.

Results
Crystal system: cubic
SG: No. 216

Cell lengths 5.051, 5.051, 5.051 Å; angles 60.00, 60.00, 60.00 degrees
Positions (direct):
Ac: 0.000 0.000 0.000
Cu: 0.250 0.250 0.250
Ge: 0.750 0.750 0.750

Arrangement Q

AcCuGe: optimized geometry, GGA-PBE.

Results
Crystal system: hexagonal
SG: No. 187

Cell lengths 6.191, 6.191, 6.191 Å; angles 74.80, 74.80, 74.80 degrees
Positions (direct):
Ac: 0.761 0.428 0.095
Ac: 0.095 0.761 0.428
Ac: 0.428 0.095 0.761
Cu: 0.595 0.928 0.261
Cu: 0.928 0.261 0.595
Cu: 0.261 0.595 0.928
Ge: 0.261 0.261 0.261
Ge: 0.595 0.595 0.595
Ge: 0.928 0.928 0.928

Which structure loses on stability? arrangement P does.

Arrangement P

ZrAgB4: optimized geometry, GGA-PBE.

Results
Crystal system: orthorhombic
SG: No. 71

Cell lengths 4.893, 4.893, 4.893 Å; angles 142.81, 114.54, 77.76 degrees
Positions (direct):
Ag: 0.000 0.000 0.000
B: 0.555 0.236 0.319
B: 0.083 0.764 0.319
B: 0.917 0.236 0.681
B: 0.445 0.764 0.681
Zr: 0.500 0.500 0.000

Arrangement Q

ZrAgB4: optimized geometry, GGA-PBE.

Results
Crystal system: hexagonal
SG: No. 191

Cell lengths 3.135, 3.135, 7.415 Å; angles 90.00, 90.00, 120.00 degrees
Positions (direct):
Ag: 0.000 0.000 0.000
B: 0.667 0.333 0.265
B: 0.333 0.667 0.265
B: 0.667 0.333 0.735
B: 0.333 0.667 0.735
Zr: 0.000 0.000 0.500

Which structure loses on stability? arrangement Q does.

Arrangement P

Cu2Ag3: optimized geometry, GGA-PBE.

Results
Crystal system: orthorhombic
SG: No. 65

Cell lengths 9.953, 9.953, 3.977 Å; angles 90.00, 90.00, 156.70 degrees
Positions (direct):
Ag: 0.596 0.404 0.000
Ag: 0.404 0.596 0.000
Ag: 0.904 0.096 0.500
Ag: 0.701 0.299 0.500
Ag: 0.299 0.701 0.500
Ag: 0.096 0.904 0.500
Cu: 0.000 0.000 0.000
Cu: 0.798 0.202 0.000
Cu: 0.202 0.798 0.000
Cu: 0.500 0.500 0.500

Arrangement Q

Cu2Ag3: optimized geometry, GGA-PBE.

Results
Crystal system: tetragonal
SG: No. 129

Cell lengths 2.867, 2.867, 18.850 Å; angles 90.00, 90.00, 90.00 degrees
Positions (direct):
Ag: 0.500 0.000 0.057
Ag: 0.500 0.000 0.249
Ag: 0.000 0.500 0.364
Ag: 0.500 0.000 0.636
Ag: 0.000 0.500 0.751
Ag: 0.000 0.500 0.943
Cu: 0.000 0.500 0.153
Cu: 0.500 0.000 0.461
Cu: 0.000 0.500 0.539
Cu: 0.500 0.000 0.847

Which structure loses on stability? arrangement P does.

Arrangement P

MgHgTeO: optimized geometry, GGA-PBE.

Results
Crystal system: orthorhombic
SG: No. 19

Cell lengths 7.523, 6.427, 8.901 Å; angles 90.00, 90.00, 90.00 degrees
Positions (direct):
Hg: 0.180 0.040 0.129
Hg: 0.820 0.540 0.371
Hg: 0.320 0.960 0.629
Hg: 0.680 0.460 0.871
Mg: 0.412 0.441 0.238
Mg: 0.588 0.941 0.262
Mg: 0.088 0.559 0.738
Mg: 0.912 0.059 0.762
O: 0.432 0.151 0.188
O: 0.568 0.651 0.312
O: 0.068 0.849 0.688
O: 0.932 0.349 0.812
Te: 0.875 0.871 0.055
Te: 0.125 0.371 0.445
Te: 0.625 0.129 0.555
Te: 0.375 0.629 0.945

Arrangement Q

MgHgTeO: optimized geometry, GGA-PBE.

Results
Crystal system: orthorhombic
SG: No. 61

Cell lengths 5.909, 18.691, 6.207 Å; angles 90.00, 90.00, 90.00 degrees
Positions (direct):
Hg: 0.249 0.413 0.207
Hg: 0.251 0.913 0.207
Hg: 0.749 0.413 0.293
Hg: 0.751 0.913 0.293
Hg: 0.249 0.087 0.707
Hg: 0.251 0.587 0.707
Hg: 0.749 0.087 0.793
Hg: 0.751 0.587 0.793
Mg: 0.669 0.246 0.124
Mg: 0.831 0.746 0.124
Mg: 0.169 0.246 0.376
Mg: 0.331 0.746 0.376
Mg: 0.669 0.254 0.624
Mg: 0.831 0.754 0.624
Mg: 0.169 0.254 0.876
Mg: 0.331 0.754 0.876
O: 0.350 0.268 0.129
O: 0.150 0.768 0.129
O: 0.850 0.268 0.371
O: 0.650 0.768 0.371
O: 0.350 0.232 0.629
O: 0.150 0.732 0.629
O: 0.850 0.232 0.871
O: 0.650 0.732 0.871
Te: 0.179 0.084 0.221
Te: 0.321 0.584 0.221
Te: 0.679 0.084 0.279
Te: 0.821 0.584 0.279
Te: 0.179 0.416 0.721
Te: 0.321 0.916 0.721
Te: 0.679 0.416 0.779
Te: 0.821 0.916 0.779

Arrangement R

MgHgTeO: optimized geometry, GGA-PBE.

Results
Crystal system: tetragonal
SG: No. 129

Cell lengths 5.132, 5.132, 7.616 Å; angles 90.00, 90.00, 90.00 degrees
Positions (direct):
Hg: 0.750 0.750 0.286
Hg: 0.250 0.250 0.714
Mg: 0.750 0.250 0.000
Mg: 0.250 0.750 0.000
O: 0.250 0.250 0.420
O: 0.750 0.750 0.580
Te: 0.250 0.250 0.170
Te: 0.750 0.750 0.830

Which structure loses on stability? arrangement R does.

Arrangement P

NaSrTaPt: optimized geometry, GGA-PBE.

Results
Crystal system: cubic
SG: No. 216

Cell lengths 5.140, 5.140, 5.140 Å; angles 60.00, 60.00, 60.00 degrees
Positions (direct):
Na: 0.750 0.750 0.750
Pt: 0.000 0.000 0.000
Sr: 0.250 0.250 0.250
Ta: 0.500 0.500 0.500

Arrangement Q

NaSrTaPt: optimized geometry, GGA-PBE.

Results
Crystal system: cubic
SG: No. 216

Cell lengths 4.983, 4.983, 4.983 Å; angles 60.00, 60.00, 60.00 degrees
Positions (direct):
Na: 0.750 0.750 0.750
Pt: 0.250 0.250 0.250
Sr: 0.000 0.000 0.000
Ta: 0.500 0.500 0.500

Which structure loses on stability? arrangement P does.

Arrangement P

Hf2ZrNi2As4Pd2: optimized geometry, GGA-PBE.

Results
Crystal system: monoclinic
SG: No. 6

Cell lengths 6.488, 3.863, 7.572 Å; angles 90.00, 91.47, 90.00 degrees
Positions (direct):
As: 0.239 0.000 0.132
As: 0.766 0.000 0.391
As: 0.228 0.500 0.617
As: 0.790 0.500 0.864
Hf: 0.966 0.500 0.186
Hf: 0.464 0.500 0.319
Ni: 0.145 0.000 0.443
Ni: 0.857 0.500 0.556
Pd: 0.648 0.000 0.065
Pd: 0.363 0.500 0.936
Zr: 0.530 0.000 0.688

Arrangement Q

Hf2ZrNi2As4Pd2: optimized geometry, GGA-PBE.

Results
Crystal system: monoclinic
SG: No. 6

Cell lengths 6.536, 3.860, 7.578 Å; angles 90.00, 90.88, 90.00 degrees
Positions (direct):
As: 0.246 0.000 0.128
As: 0.757 0.000 0.365
As: 0.242 0.500 0.616
As: 0.767 0.500 0.891
Hf: 0.970 0.500 0.189
Hf: 0.465 0.500 0.312
Ni: 0.636 0.000 0.061
Ni: 0.155 0.000 0.442
Pd: 0.857 0.500 0.569
Pd: 0.369 0.500 0.938
Zr: 0.534 0.000 0.687

Which structure loses on stability? arrangement Q does.

Arrangement P

HfBeTcBi: optimized geometry, GGA-PBE.

Results
Crystal system: cubic
SG: No. 216

Cell lengths 4.623, 4.623, 4.623 Å; angles 60.00, 60.00, 60.00 degrees
Positions (direct):
Be: 0.750 0.750 0.750
Bi: 0.250 0.250 0.250
Hf: 0.000 0.000 0.000
Tc: 0.500 0.500 0.500

Arrangement Q

HfBeTcBi: optimized geometry, GGA-PBE.

Results
Crystal system: cubic
SG: No. 216

Cell lengths 4.623, 4.623, 4.623 Å; angles 60.00, 60.00, 60.00 degrees
Positions (direct):
Be: 0.750 0.750 0.750
Bi: 0.500 0.500 0.500
Hf: 0.000 0.000 0.000
Tc: 0.250 0.250 0.250

Which structure loses on stability? arrangement P does.

Arrangement P

InAuNO: optimized geometry, GGA-PBE.

Results
Crystal system: orthorhombic
SG: No. 26

Cell lengths 3.662, 5.454, 6.369 Å; angles 90.00, 90.00, 90.00 degrees
Positions (direct):
Au: 0.000 0.528 0.429
Au: 0.000 0.028 0.571
In: 0.500 0.993 0.145
In: 0.500 0.493 0.855
N: 0.000 0.857 0.276
N: 0.000 0.357 0.724
O: 0.500 0.376 0.169
O: 0.500 0.876 0.831

Arrangement Q

InAuNO: optimized geometry, GGA-PBE.

Results
Crystal system: orthorhombic
SG: No. 29

Cell lengths 6.437, 7.541, 5.379 Å; angles 90.00, 90.00, 90.00 degrees
Positions (direct):
Au: 0.489 0.375 0.041
Au: 0.989 0.625 0.041
Au: 0.011 0.375 0.541
Au: 0.511 0.625 0.541
In: 0.408 0.119 0.470
In: 0.908 0.881 0.470
In: 0.092 0.119 0.970
In: 0.592 0.881 0.970
N: 0.417 0.110 0.067
N: 0.917 0.890 0.067
N: 0.083 0.110 0.567
N: 0.583 0.890 0.567
O: 0.976 0.356 0.124
O: 0.476 0.644 0.124
O: 0.524 0.356 0.624
O: 0.024 0.644 0.624

Which structure loses on stability? arrangement Q does.

Arrangement P

AcTaSi: optimized geometry, GGA-PBE.

Results
Crystal system: cubic
SG: No. 216

Cell lengths 5.083, 5.083, 5.083 Å; angles 60.00, 60.00, 60.00 degrees
Positions (direct):
Ac: 0.000 0.000 0.000
Si: 0.250 0.250 0.250
Ta: 0.750 0.750 0.750

Arrangement Q

AcTaSi: optimized geometry, GGA-PBE.

Results
Crystal system: cubic
SG: No. 216

Cell lengths 4.799, 4.799, 4.799 Å; angles 60.00, 60.00, 60.00 degrees
Positions (direct):
Ac: 0.250 0.250 0.250
Si: 0.000 0.000 0.000
Ta: 0.750 0.750 0.750

Which structure loses on stability? arrangement P does.